P | # ZnFeIN2

A geometry-optimized ZnFeIN2 structure (PBE, Alexandria).

abc: 3.6664 3.6664 6.7462
angles: 90.00 90.00 90.00
Space group P4/mmm (No. 123)
Symmetry-distinct sites (fractional):
Zn  0.0000  0.0000  0.0000 [1 per cell]
Fe  0.5000  0.5000  0.5000 [1 per cell]
I  0.5000  0.5000  0.0000 [1 per cell]
N  0.0000  0.5000  0.5000 [2 per cell]

## Properties
Magnetization ... 0.075 μB per atom
N(E_F) ... 3.11 states/eV per cell
V ... 18.137 Å³ per atom


Q | # ZnFeIN2

A geometry-optimized ZnFeIN2 structure (PBE, Alexandria).

abc: 3.8239 3.8239 6.6441
angles: 90.00 90.00 90.00
Space group P4/mmm (No. 123)
Symmetry-distinct sites (fractional):
Zn  0.0000  0.0000  0.0000 [1 per cell]
Fe  0.5000  0.5000  0.5000 [1 per cell]
I  0.0000  0.0000  0.5000 [1 per cell]
N  0.0000  0.5000  0.0000 [2 per cell]

## Properties
Magnetization ... 0.575 μB per atom
N(E_F) ... 9.18 states/eV per cell
V ... 19.430 Å³ per atom


Stability, highest: P


P | # ZrFeIN2

A geometry-optimized ZrFeIN2 structure (PBE, Alexandria).

abc: 4.1548 4.1548 6.0824
angles: 90.00 90.00 90.00
Space group P4/mmm (No. 123)
Symmetry-distinct sites (fractional):
Zr  0.0000  0.0000  0.0000 [1 per cell]
Fe  0.5000  0.5000  0.5000 [1 per cell]
I  0.0000  0.0000  0.5000 [1 per cell]
N  0.0000  0.5000  0.0000 [2 per cell]

## Properties
Magnetization ... 0.807 μB per atom
N(E_F) ... 4.74 states/eV per cell
V ... 21.000 Å³ per atom


Q | # ZrFeIN2

A geometry-optimized ZrFeIN2 structure (PBE, Alexandria).

abc: 3.9536 3.9536 4.9288
angles: 90.00 90.00 90.00
Space group P4/mmm (No. 123)
Symmetry-distinct sites (fractional):
Zr  0.0000  0.0000  0.0000 [1 per cell]
Fe  0.5000  0.5000  0.5000 [1 per cell]
I  0.5000  0.5000  0.0000 [1 per cell]
N  0.0000  0.5000  0.5000 [2 per cell]

## Properties
Magnetization ... 0.513 μB per atom
N(E_F) ... 3.87 states/eV per cell
V ... 15.408 Å³ per atom


Stability, highest: P